Below is a geometry-optimized ErPu2ThP4 structure, with properties calculated at the PBE-GGA level.

ΔE_f   -133 kJ/mol of atoms
DFT total energy   -9.163 eV per atom
D(E_F)   18.18 states/eV/f.u.

abc: 4.0536 7.0011 6.9449
angles: 109.67 90.00 90.00
With the nearest neighbours (Å) after each atom.
Sites, in units of the cell vectors:
Er1 0.0000 0.0000 0.0000  6 P 2.85-2.86
Pu1 0.5000 0.0000 0.5000  6 P 2.80-2.81
Pu2 0.0000 0.5000 0.5000  6 P 2.85
Th1 0.5000 0.5000 0.0000  6 P 2.90
P1 0.5000 0.2468 0.2549  3 Pu 2.80-2.85, 2 Er 2.86, 1 Th 2.90
P2 0.5000 0.7532 0.7451  3 Pu 2.80-2.85, 2 Er 2.86, 1 Th 2.90
P3 0.0000 0.2419 0.7423  3 Pu 2.81-2.85, 1 Er 2.85, 2 Th 2.90
P4 0.0000 0.7581 0.2577  3 Pu 2.81-2.85, 1 Er 2.85, 2 Th 2.90



Below is a geometry-optimized LiYGe2Pt2 structure, with properties calculated at the PBE-GGA level.

ΔE_f   -86 kJ/mol of atoms
DFT total energy   -5.843 eV per atom
D(E_F)   2.35 states/eV/f.u.

abc: 4.3555 4.3555 6.4871
angles: 90.00 90.00 120.00
With the nearest neighbours (Å) after each atom.
Sites, in units of the cell vectors:
Li1 0.0000 0.0000 0.5000  6 Ge 2.84, 6 Pt 2.86
Y1 0.0000 0.0000 0.0000  6 Pt 3.13, 6 Ge 3.17, 2 Li 3.24
Ge1 0.6667 0.3333 0.7031  4 Pt 2.52-2.69
Ge2 0.3333 0.6667 0.2969  4 Pt 2.52-2.69
Pt1 0.6667 0.3333 0.2884  4 Ge 2.52-2.69
Pt2 0.3333 0.6667 0.7116  4 Ge 2.52-2.69



Below is a geometry-optimized PrHoZn4 structure, with properties calculated at the PBE-GGA level.

ΔE_f   -31 kJ/mol of atoms
DFT total energy   -2.728 eV per atom
Excess energy over the best structure of this formula in the dataset   28 meV/atom
D(E_F)   1.58 states/eV/f.u.

abc: 5.5289 5.5289 5.5289
angles: 60.00 60.00 60.00
With the nearest neighbours (Å) after each atom.
Sites, in units of the cell vectors:
Pr1 0.2500 0.2500 0.2500  12 Zn 3.24, 4 Ho 3.39
Zn1 0.6253 0.6253 0.1240  6 Zn 2.76-2.77
Zn2 0.6253 0.1240 0.6253  6 Zn 2.76-2.77
Zn3 0.6253 0.6253 0.6253  6 Zn 2.76-2.77
Zn4 0.1240 0.6253 0.6253  6 Zn 2.76-2.77
Ho1 0.0000 0.0000 0.0000  12 Zn 3.24, 4 Pr 3.39